Record 1
# NaHg6Pb6, relaxed, DFT PBE
data_NaHg6Pb6
_chemical_formula_sum 'Na1 Hg6 Pb6'
_symmetry_space_group_name_H-M 'P 1'
_symmetry_Int_Tables_number 1
_symmetry_space_group_name_Hall 'P 1'
_cell_length_a 6.1484
_cell_length_b 6.1484
_cell_length_c 11.5014
_cell_angle_alpha 90.00
_cell_angle_beta 90.00
_cell_angle_gamma 120.00
loop_
_atom_site_label
_atom_site_fract_x
_atom_site_fract_y
_atom_site_fract_z
Na1 0.0000 0.0000 0.0000
Hg1 0.0000 0.5000 0.2430
Hg2 0.0000 0.5000 0.7570
Hg3 0.5000 0.0000 0.2430
Hg4 0.5000 0.0000 0.7570
Hg5 0.5000 0.5000 0.2430
Hg6 0.5000 0.5000 0.7570
Pb1 0.0000 0.0000 0.3611
Pb2 0.0000 0.0000 0.6389
Pb3 0.3333 0.6667 0.0000
Pb4 0.3333 0.6667 0.5000
Pb5 0.6667 0.3333 0.0000
Pb6 0.6667 0.3333 0.5000
# - Calculated volume: 376.50 Å³ per cell
# - Symmetry: P6/mmm, No. 191
# - DFT formation energy: 0.1 eV per formula unit

---

Record 2
# Na2Hg3Pb2, relaxed, DFT PBE
data_Na2Hg3Pb2
_chemical_formula_sum 'Na2 Hg3 Pb2'
_symmetry_space_group_name_H-M 'P 1'
_symmetry_Int_Tables_number 1
_symmetry_space_group_name_Hall 'P 1'
_cell_length_a 5.5959
_cell_length_b 5.5959
_cell_length_c 8.0599
_cell_angle_alpha 106.09
_cell_angle_beta 106.09
_cell_angle_gamma 54.11
loop_
_atom_site_label
_atom_site_fract_x
_atom_site_fract_y
_atom_site_fract_z
Na1 0.0741 0.0741 0.2385
Na2 0.9259 0.9259 0.7615
Hg1 0.2155 0.2155 0.6410
Hg2 0.5000 0.5000 0.5000
Hg3 0.7845 0.7845 0.3590
Pb1 0.3538 0.3538 0.0578
Pb2 0.6462 0.6462 0.9422
# - Calculated volume: 194.31 Å³ per cell
# - Symmetry: C2/m, No. 12
# - DFT formation energy: -1.0 eV per formula unit